Compound: Dy12Y7Sc
Source: Alexandria
Functional: PBE
Structure: optimized geometry

Unit cell a=11.9119 b=11.9119 c=15.9005 alpha=90.00 beta=90.00 gamma=120.00
Space group R-3 (No. 148, hexagonal axes)
Inequivalent atoms, fractional coordinates:
Dy 0.0266 0.5737 0.2224 [18 per cell]
Dy 0.0599 0.8702 0.2910 [18 per cell]
Y 0.0000 0.0000 0.5000 [3 per cell]
Y 0.0666 0.4800 0.5823 [18 per cell]
Sc 0.0000 0.0000 0.0000 [3 per cell]

Summary:
- uncorrected energy (Ry per atom) = -0.375
- DFT formation energy (meV/atom) = 242
- size of the total moment (μB/atom) = 0.000
- Fermi-level density of states (states/eV per atom) = 1.88
- ΔE to the lowest computed polymorph (meV per atom) = 0

Compound: Ac2ZrGa
Source: Alexandria
Functional: PBE
Structure: optimized geometry

Unit cell a=3.5780 b=3.5780 c=35.1406 alpha=90.00 beta=90.00 gamma=120.00
Space group R-3m (No. 166, hexagonal axes)
Inequivalent atoms, fractional coordinates:
Ac 0.0000 0.0000 0.0937 [6 per cell]
Zr 0.0000 0.0000 0.0000 [3 per cell]
Ga 0.0000 0.0000 0.5000 [3 per cell]

Summary:
- uncorrected energy (Ry per atom) = -0.336
- DFT formation energy (meV/atom) = 382
- size of the total moment (μB/atom) = 0.001
- Fermi-level density of states (states/eV per atom) = 1.23

Compound: K2Ti3MnS8
Source: Alexandria
Functional: PBE
Structure: optimized geometry

Unit cell a=7.0029 b=7.0029 c=23.8225 alpha=90.00 beta=90.00 gamma=120.00
Space group R3m (No. 160, hexagonal axes)
Inequivalent atoms, fractional coordinates:
K 0.0000 0.0000 0.0000 [3 per cell]
K 0.0000 0.0000 0.3457 [3 per cell]
Ti 0.1697 0.3394 0.1796 [9 per cell]
Mn 0.0000 0.0000 0.8444 [3 per cell]
S 0.0000 0.0000 0.1235 [3 per cell]
S 0.0000 0.0000 0.5729 [3 per cell]
S 0.0011 0.5005 0.1208 [9 per cell]
S 0.1672 0.3344 0.9038 [9 per cell]

Summary:
- uncorrected energy (Ry per atom) = -0.448
- size of the total moment (μB/atom) = 0.330
- formation energy without anion corrections (eV/f.u.) = -17.213
- Fermi-level density of states (states/eV per atom) = 0.37

> size of the total moment of number 2 (Ac2ZrGa)?

0.001 μB/atom

> Number 1 is which compound?

Dy12Y7Sc

> Which value of uncorrected energy does entry 1 give?

-0.375 Ry per atom

> What is the formula in the first record?

Dy12Y7Sc